Entry 1:
DFT (PBE) results for a relaxed structure of Dy3InS.

Lattice parameters (Å, degrees): 3.9167 8.9957 14.8489 90.00 90.00 90.00
Each line ends with the local moment (μB).
Fractional positions:
Dy  0.7500  0.2094  0.2845  0.14
Dy  0.2500  0.6654  0.9903  0.08
Dy  0.2500  0.0314  0.1119  0.18
Dy  0.2500  0.5314  0.3881  0.18
Dy  0.2500  0.1654  0.5097  0.08
Dy  0.7500  0.4686  0.6119  0.18
Dy  0.2500  0.2906  0.7845  0.14
Dy  0.7500  0.9686  0.8881  0.18
Dy  0.7500  0.3346  0.0097  0.08
Dy  0.7500  0.7094  0.2155  0.14
Dy  0.7500  0.8346  0.4903  0.08
Dy  0.2500  0.7906  0.7155  0.14
In  0.2500  0.9312  0.3282  0.00
In  0.7500  0.0688  0.6718  0.00
In  0.7500  0.5688  0.8282  0.00
In  0.2500  0.4312  0.1718  0.00
S  0.2500  0.6574  0.5546  0.00
S  0.7500  0.3426  0.4454  0.00
S  0.7500  0.8426  0.0546  0.00
S  0.2500  0.1574  0.9454  0.00

Properties
Formation energy from raw total energies (eV/atom): -1.018
Crystal system: orthorhombic
Uncorrected energy (eV per atom): -5.153
Offset from the most stable computed form (eV/f.u.): 0.000
SG: Pnma, No. 62
Spin magnetization (μB per cell): 2.50

Entry 2:
DFT (PBE) results for a relaxed structure of SrTa2InGa.

Lattice parameters (Å, degrees): 5.2736 5.1438 5.2736 90.00 90.00 90.00
Each line ends with the local moment (μB).
Fractional positions:
Sr  0.5000  0.5000  0.5000  0.06
In  0.0000  0.0000  0.0000  0.02
Ga  0.0000  0.5000  0.0000  -0.04
Ta  0.0000  0.0000  0.5000  0.71
Ta  0.5000  0.0000  0.0000  0.60

Properties
E_form (kcal/mol of atoms): 34.13
Crystal system: tetragonal
Uncorrected energy (eV per atom): -4.750
SG: P4/mmm, No. 123
Spin magnetization (μB per cell): 2.22

Entry 3:
DFT (PBE) results for a relaxed structure of SrH3Pb.

Lattice parameters (Å, degrees): 4.4280 4.4280 4.4280 90.00 90.00 90.00
Fractional positions:
Pb  0.0000  0.0000  0.0000
Sr  0.5000  0.5000  0.5000
H  0.0000  0.5000  0.0000
H  0.0000  0.0000  0.5000
H  0.5000  0.0000  0.0000

Properties
Crystal system: cubic
Uncorrected energy (eV per atom): -2.896
Offset from the most stable computed form (eV/f.u.): 0.261
SG: Pm-3m, No. 221
Spin magnetization (μB per cell): 0.00

Entry 4:
DFT (PBE) results for a relaxed structure of Dy3AlPd3.

Lattice parameters (Å, degrees): 4.0739 5.5929 14.3136 90.00 90.00 111.36
Fractional positions:
Dy  0.2094  0.4188  0.8959
Dy  0.7906  0.5812  0.1041
Dy  0.2094  0.4188  0.6041
Dy  0.7906  0.5812  0.3959
Dy  0.4867  0.9735  0.7500
Dy  0.5133  0.0265  0.2500
Al  0.5000  0.0000  0.0000
Al  0.5000  0.0000  0.5000
Pd  0.9230  0.8460  0.9091
Pd  0.0770  0.1540  0.0909
Pd  0.9230  0.8460  0.5909
Pd  0.0770  0.1540  0.4091
Pd  0.7646  0.5292  0.7500
Pd  0.2354  0.4708  0.2500

Properties
E_form (kcal/mol of atoms): -19.82
Crystal system: orthorhombic
Uncorrected energy (eV per atom): -5.592
SG: Cmcm, No. 63
Spin magnetization (μB per cell): 0.00

Entry 5:
DFT (PBE) results for a relaxed structure of Ac2NpCr2N6.

Lattice parameters (Å, degrees): 5.9532 5.9532 6.4745 62.63 62.63 60.00
Each line ends with the local moment (μB).
Fractional positions:
Ac  0.7768  0.7768  0.6695  0.01
Ac  0.2232  0.2232  0.3305  0.01
Np  0.0000  0.0000  0.0000  1.52
Cr  0.4378  0.4378  0.6867  -0.05
Cr  0.5622  0.5622  0.3133  -0.05
N  0.7539  0.7539  0.2470  -0.04
N  0.2451  0.7539  0.2470  -0.04
N  0.7539  0.2451  0.2470  -0.04
N  0.2461  0.7549  0.7530  -0.04
N  0.7549  0.2461  0.7530  -0.04
N  0.2461  0.2461  0.7530  -0.04

Properties
Formation energy from raw total energies (eV/atom): -0.902
Crystal system: trigonal
Uncorrected energy (eV per atom): -9.116
SG: R-3m, No. 166
Spin magnetization (μB per cell): 1.23

Entry 6:
DFT (PBE) results for a relaxed structure of Cs4CaPb3I12.

Lattice parameters (Å, degrees): 10.9959 10.9959 10.9959 109.47 109.47 109.47
Fractional positions:
Cs  0.5000  0.5000  0.5000
Cs  0.0000  0.0000  0.5000
Cs  0.5000  0.0000  0.0000
Cs  0.0000  0.5000  0.0000
Ca  0.0000  0.0000  0.0000
Pb  0.5000  0.0000  0.5000
Pb  0.5000  0.5000  0.0000
Pb  0.0000  0.5000  0.5000
I  0.2500  0.5000  0.7500
I  0.7537  0.0000  0.7537
I  0.2463  0.0000  0.2463
I  0.7500  0.5000  0.2500
I  0.7537  0.7537  0.0000
I  0.2463  0.2463  0.0000
I  0.7500  0.2500  0.5000
I  0.2500  0.7500  0.5000
I  0.5000  0.2500  0.7500
I  0.0000  0.7537  0.7537
I  0.5000  0.7500  0.2500
I  0.0000  0.2463  0.2463

Properties
Formation energy from raw total energies (eV/atom): -1.142
Crystal system: cubic
Uncorrected energy (eV per atom): -2.899
SG: Im-3m, No. 229
Spin magnetization (μB per cell): 0.00

Entry 7:
DFT (PBE) results for a relaxed structure of KCaSc.

Lattice parameters (Å, degrees): 6.0393 6.0393 6.0393 60.00 60.00 60.00
Each line ends with the local moment (μB).
Fractional positions:
Ca  0.0000  0.0000  0.0000  0.07
K  0.5000  0.5000  0.5000  0.02
Sc  0.7500  0.7500  0.7500  0.81

Properties
E_form (kcal/mol of atoms): 22.04
Crystal system: cubic
Uncorrected energy (eV per atom): -2.188
Offset from the most stable computed form (eV/f.u.): 1.702
SG: F-43m, No. 216
Spin magnetization (μB per cell): 1.78

Entry 8:
DFT (PBE) results for a relaxed structure of U2TiSi3Ir4.

Lattice parameters (Å, degrees): 4.0277 4.0277 10.4999 90.00 90.00 90.00
Each line ends with the local moment (μB).
Fractional positions:
U  0.5000  0.0000  0.2435  1.31
U  0.0000  0.5000  0.7565  1.31
Ti  0.5000  0.5000  0.5000  0.13
Si  0.0000  0.0000  0.5000  -0.02
Si  0.5000  0.0000  0.8722  -0.01
Si  0.0000  0.5000  0.1278  -0.01
Ir  0.5000  0.5000  0.0000  -0.06
Ir  0.0000  0.0000  0.0000  -0.07
Ir  0.5000  0.0000  0.6449  -0.07
Ir  0.0000  0.5000  0.3551  -0.07

Properties
Formation energy from raw total energies (eV/atom): -0.774
Crystal system: tetragonal
Uncorrected energy (eV per atom): -8.992
SG: P-4m2, No. 115
Spin magnetization (μB per cell): 2.58